# 1
BaSb2Cl | GGA-PBE | relaxed

Output
Raw formation energy in eV/atom: -0.709
Electronic total energy in eV per atom: -3.71
Energy above the most stable polymorph in this dataset in eV per atom: 0.312
DOS at the Fermi energy in states/eV/f.u.: 1.7
M_tot in μB per formula unit: 0.00

Cell: 5.6478 5.6478 5.6478 Å, 120.13 120.13 89.77°
Sites, in units of the cell vectors:
1 Ba 0.0000 0.0000 0.0000
2 Sb 0.5000 0.5000 0.0000
3 Sb 0.7500 0.2500 0.5000
4 Cl 0.2500 0.7500 0.5000

---

# 2
InAsOsBr2 | GGA-PBE | relaxed

Output
Raw formation energy in eV/atom: 0.276
Electronic total energy in eV per atom: -4.12
Energy above the most stable polymorph in this dataset in eV per atom: 0.000
DOS at the Fermi energy in states/eV/f.u.: 3.1
M_tot in μB per formula unit: 0.00

Cell: 5.3828 5.3828 4.6651 Å, 90.00 90.00 90.00°
Sites, in units of the cell vectors:
1 In 0.0000 0.0000 0.0000
2 As 0.5000 0.5000 0.0000
3 Os 0.5000 0.5000 0.5000
4 Br 0.0000 0.5000 0.5000
5 Br 0.5000 0.0000 0.5000